# 1
Compound: ThRe2N2
Source: OQMD via LeMat-Bulk
Functional: PBE-GGA
Structure: optimized geometry

Computed properties:
Raw total energy   -79.2 eV/cell

a b c (Å): 4.6026 4.6026 10.5787
angles (deg): 90.00 90.00 120.00
Space group P6_3/mmc (No. 194)
One atom of each set of equivalent atoms:
Th 0.0000 0.0000 0.2500 [2 per cell]
Re 0.0000 0.0000 0.0000 [2 per cell]
Re 0.3333 0.6667 0.2500 [2 per cell]
N 0.3333 0.6667 0.0679 [4 per cell]

---

# 2
Compound: DyCo4B4
Source: OQMD via LeMat-Bulk
Functional: PBE-GGA
Structure: optimized geometry

Computed properties:
Raw total energy   -128.6 eV/cell

a b c (Å): 5.0026 5.0026 6.9746
angles (deg): 90.00 90.00 90.00
Space group P4_2/nmc (No. 137, origin choice 2)
One atom of each set of equivalent atoms:
Dy 0.2500 0.7500 0.2500 [2 per cell]
Co 0.0037 0.7500 0.6141 [8 per cell]
B 0.0749 0.2500 0.0903 [8 per cell]

---

# 3
Compound: TbTlHgS3
Source: OQMD via LeMat-Bulk
Functional: PBE-GGA
Structure: optimized geometry

Computed properties:
Energy above the most stable polymorph in this dataset   0.0520 eV per atom

a b c (Å): 17.0045 4.0730 9.2222
angles (deg): 90.00 104.02 90.00
Space group C2/m (No. 12)
One atom of each set of equivalent atoms:
Tb 0.1710 0.0000 0.0893 [4 per cell]
Tl 0.1402 0.0000 0.5668 [4 per cell]
Hg 0.0071 0.5000 0.2187 [4 per cell]
S 0.0000 0.0000 0.0000 [2 per cell]
S 0.0000 0.5000 0.5000 [2 per cell]
S 0.1653 0.5000 0.8797 [4 per cell]
S 0.1670 0.5000 0.2877 [4 per cell]

---

# 4
Compound: NaNdHgO3
Source: OQMD via LeMat-Bulk
Functional: PBE-GGA
Structure: optimized geometry

Computed properties:
Raw total energy   -127.0 eV/cell

a b c (Å): 3.7517 12.0902 9.0412
angles (deg): 90.00 90.00 90.00
Space group Cmcm (No. 63)
One atom of each set of equivalent atoms:
Na 0.0000 0.1546 0.2500 [4 per cell]
Nd 0.0000 0.5000 0.0000 [4 per cell]
Hg 0.0000 0.1358 0.7500 [4 per cell]
O 0.0000 0.1261 0.5261 [8 per cell]
O 0.0000 0.4576 0.7500 [4 per cell]